Record 1
Computed, not measured: a relaxed structure of CeTmH4 at the PBE-GGA level of DFT.

Cell: 3.6800 3.6800 5.3596 Å, 90.00 90.00 90.00°
Sites, in units of the cell vectors:
Ce: 0.0000 0.0000 0.0000
Tm: 0.5000 0.5000 0.5000
H: 0.0000 0.5000 0.2699
H: 0.0000 0.5000 0.7301
H: 0.5000 0.0000 0.2699
H: 0.5000 0.0000 0.7301

Values from the calculation:
The value obtained for the total energy is -4.590 eV/atom.

Record 2
Computed, not measured: a relaxed structure of Ce3TmH at the PBE-GGA level of DFT.

Cell: 4.9574 4.9574 4.9574 Å, 90.00 90.00 90.00°
Sites, in units of the cell vectors:
Ce: 0.0000 0.0000 0.5000
Ce: 0.0000 0.5000 0.0000
Ce: 0.5000 0.0000 0.0000
Tm: 0.5000 0.5000 0.5000
H: 0.0000 0.0000 0.0000

Values from the calculation:
The value obtained for the total energy is -5.194 eV/atom.

Record 3
Computed, not measured: a relaxed structure of CeTm2H at the PBE-GGA level of DFT.

Cell: 3.3474 3.3474 27.7771 Å, 90.00 90.00 120.00°
Sites, in units of the cell vectors:
Ce: 0.0000 0.0000 0.0000
Ce: 0.3333 0.6667 0.6667
Ce: 0.6667 0.3333 0.3333
Tm: 0.0000 0.0000 0.1184
Tm: 0.0000 0.0000 0.8816
Tm: 0.3333 0.6667 0.5482
Tm: 0.3333 0.6667 0.7851
Tm: 0.6667 0.3333 0.2149
Tm: 0.6667 0.3333 0.4518
H: 0.0000 0.0000 0.5000
H: 0.3333 0.6667 0.1667
H: 0.6667 0.3333 0.8333

Values from the calculation:
The value obtained for the total energy is -4.570 eV/atom.

Record 4
Computed, not measured: a relaxed structure of CeVH at the PBE-GGA level of DFT.

Cell: 4.4608 4.0980 4.7184 Å, 90.00 90.00 90.00°
Sites, in units of the cell vectors:
Ce: 0.2500 0.0000 0.1983
Ce: 0.7500 0.0000 0.8017
V: 0.2500 0.5000 0.6532
V: 0.7500 0.5000 0.3468
H: 0.0000 0.5000 0.0000
H: 0.5000 0.5000 0.0000

Values from the calculation:
The value obtained for the total energy is -6.068 eV/atom.

Record 5
Computed, not measured: a relaxed structure of CeV2H8 at the PBE-GGA level of DFT.

Cell: 4.6445 4.5956 4.5956 Å, 123.12 90.00 90.00°
Sites, in units of the cell vectors:
Ce: 0.0000 0.0000 0.0000
V: 0.5000 0.3385 0.6934
V: 0.5000 0.6934 0.3385
H: 0.2180 0.0130 0.4839
H: 0.2180 0.4839 0.0130
H: 0.2552 0.5023 0.5023
H: 0.5000 0.0388 0.8150
H: 0.5000 0.8150 0.0388
H: 0.7448 0.5023 0.5023
H: 0.7820 0.0130 0.4839
H: 0.7820 0.4839 0.0130

Values from the calculation:
The value obtained for the total energy is -4.929 eV/atom.

Record 6
Computed, not measured: a relaxed structure of Ce2VH at the PBE-GGA level of DFT.

Cell: 3.0186 3.0186 25.5557 Å, 90.00 90.00 120.00°
Sites, in units of the cell vectors:
Ce: 0.0000 0.0000 0.0994
Ce: 0.0000 0.0000 0.9006
Ce: 0.3333 0.6667 0.5673
Ce: 0.3333 0.6667 0.7661
Ce: 0.6667 0.3333 0.2339
Ce: 0.6667 0.3333 0.4327
V: 0.0000 0.0000 0.0000
V: 0.3333 0.6667 0.6667
V: 0.6667 0.3333 0.3333
H: 0.0000 0.0000 0.5000
H: 0.3333 0.6667 0.1667
H: 0.6667 0.3333 0.8333

Values from the calculation:
The value obtained for the total energy is -5.866 eV/atom.

Record 7
Computed, not measured: a relaxed structure of Ce2VH8 at the PBE-GGA level of DFT.

Cell: 6.4577 6.4577 6.4577 Å, 146.83 137.05 55.32°
Sites, in units of the cell vectors:
Ce: 0.1630 0.1630 0.0000
Ce: 0.8370 0.8370 0.0000
V: 0.5000 0.5000 0.0000
H: 0.1466 0.3700 0.7767
H: 0.2821 0.7821 0.5000
H: 0.2945 0.0000 0.2945
H: 0.4067 0.6300 0.7767
H: 0.5933 0.3700 0.2233
H: 0.7055 0.0000 0.7055
H: 0.7179 0.2179 0.5000
H: 0.8534 0.6300 0.2233

Values from the calculation:
The value obtained for the total energy is -4.684 eV/atom.

Record 8
Computed, not measured: a relaxed structure of CeV3H6 at the PBE-GGA level of DFT.

Cell: 4.7919 4.7919 4.7919 Å, 63.26 63.26 63.26°
Sites, in units of the cell vectors:
Ce: 0.0000 0.0000 0.0000
V: 0.2576 0.2576 0.2576
V: 0.4973 0.4973 0.4973
V: 0.7512 0.7512 0.7512
H: 0.1001 0.5726 0.4473
H: 0.1349 0.5124 0.8804
H: 0.4473 0.1001 0.5726
H: 0.5124 0.8804 0.1349
H: 0.5726 0.4473 0.1001
H: 0.8804 0.1349 0.5124

Values from the calculation:
The value obtained for the total energy is -5.478 eV/atom.

Record 9
Computed, not measured: a relaxed structure of CeH7W2 at the PBE-GGA level of DFT.

Cell: 5.5090 5.5090 3.4163 Å, 90.00 90.00 122.49°
Sites, in units of the cell vectors:
Ce: 0.0000 0.0000 0.0000
H: 0.0238 0.3080 0.5000
H: 0.3080 0.0238 0.5000
H: 0.3842 0.6158 0.0000
H: 0.5000 0.5000 0.5000
H: 0.6158 0.3842 0.0000
H: 0.6920 0.9762 0.5000
H: 0.9762 0.6920 0.5000
W: 0.3130 0.6870 0.5000
W: 0.6870 0.3130 0.5000

Values from the calculation:
The value obtained for the total energy is -5.480 eV/atom.

Record 10
Computed, not measured: a relaxed structure of CeH2W at the PBE-GGA level of DFT.

Cell: 3.0048 3.0048 19.0212 Å, 90.00 90.00 120.00°
Sites, in units of the cell vectors:
Ce: 0.0000 0.0000 0.0000
Ce: 0.3333 0.6667 0.6667
Ce: 0.6667 0.3333 0.3333
H: 0.0000 0.0000 0.4055
H: 0.0000 0.0000 0.5945
H: 0.3333 0.6667 0.0722
H: 0.3333 0.6667 0.2612
H: 0.6667 0.3333 0.7388
H: 0.6667 0.3333 0.9278
W: 0.0000 0.0000 0.5000
W: 0.3333 0.6667 0.1667
W: 0.6667 0.3333 0.8333

Values from the calculation:
The value obtained for the total energy is -6.201 eV/atom.

Record 11
Computed, not measured: a relaxed structure of Ce2YH8 at the PBE-GGA level of DFT.

Cell: 6.5939 6.5939 6.5939 Å, 146.23 133.76 58.47°
Sites, in units of the cell vectors:
Ce: 0.1713 0.1713 0.0000
Ce: 0.8287 0.8287 0.0000
Y: 0.5000 0.5000 0.0000
H: 0.0918 0.3460 0.7458
H: 0.2485 0.0000 0.2485
H: 0.3227 0.8227 0.5000
H: 0.3998 0.6540 0.7458
H: 0.6002 0.3460 0.2542
H: 0.6773 0.1773 0.5000
H: 0.7515 0.0000 0.7515
H: 0.9082 0.6540 0.2542

Values from the calculation:
The value obtained for the total energy is -4.665 eV/atom.

Record 12
Computed, not measured: a relaxed structure of Ce5Y3H12 at the PBE-GGA level of DFT.

Cell: 11.4858 11.4858 11.4858 Å, 109.47 109.47 109.47°
Sites, in units of the cell vectors:
Ce: 0.0000 0.0000 0.0000
Ce: 0.0000 0.0000 0.5000
Ce: 0.0000 0.5000 0.0000
Ce: 0.0000 0.5000 0.5000
Ce: 0.1250 0.7500 0.8750
Ce: 0.1250 0.8750 0.2500
Ce: 0.2500 0.1250 0.8750
Ce: 0.2500 0.6250 0.3750
Ce: 0.3750 0.2500 0.6250
Ce: 0.3750 0.6250 0.7500
Ce: 0.5000 0.0000 0.0000
Ce: 0.5000 0.0000 0.5000
Ce: 0.5000 0.5000 0.0000
Ce: 0.5000 0.5000 0.5000
Ce: 0.6250 0.3750 0.2500
Ce: 0.6250 0.7500 0.3750
Ce: 0.7500 0.3750 0.6250
Ce: 0.7500 0.8750 0.1250
Ce: 0.8750 0.1250 0.7500
Ce: 0.8750 0.2500 0.1250
Y: 0.1250 0.2500 0.3750
Y: 0.1250 0.3750 0.7500
Y: 0.2500 0.3750 0.1250
Y: 0.2500 0.8750 0.6250
Y: 0.3750 0.1250 0.2500
Y: 0.3750 0.7500 0.1250
Y: 0.6250 0.2500 0.8750
Y: 0.6250 0.8750 0.7500
Y: 0.7500 0.1250 0.3750
Y: 0.7500 0.6250 0.8750
Y: 0.8750 0.6250 0.2500
Y: 0.8750 0.7500 0.6250
H: 0.0721 0.7293 0.6554
H: 0.0721 0.8428 0.4167
H: 0.0739 0.2293 0.1572
H: 0.0739 0.3446 0.9167
H: 0.0833 0.6572 0.4279
H: 0.0833 0.9261 0.6554
H: 0.1554 0.2293 0.5721
H: 0.1554 0.4261 0.5833
H: 0.1572 0.0739 0.2293
H: 0.1572 0.5833 0.9279
H: 0.2293 0.1572 0.0739
H: 0.2293 0.5721 0.1554
H: 0.2707 0.3446 0.9279
H: 0.2707 0.4261 0.3428
H: 0.3428 0.2707 0.4261
H: 0.3428 0.5721 0.9167
H: 0.3446 0.9167 0.0739
H: 0.3446 0.9279 0.2707
H: 0.4167 0.0721 0.8428
H: 0.4167 0.8446 0.5739
H: 0.4261 0.3428 0.2707
H: 0.4261 0.5833 0.1554
H: 0.4279 0.0833 0.6572
H: 0.4279 0.8446 0.7707
H: 0.5721 0.1554 0.2293
H: 0.5721 0.9167 0.3428
H: 0.5739 0.4167 0.8446
H: 0.5739 0.6572 0.7293
H: 0.5833 0.1554 0.4261
H: 0.5833 0.9279 0.1572
H: 0.6554 0.0721 0.7293
H: 0.6554 0.0833 0.9261
H: 0.6572 0.4279 0.0833
H: 0.6572 0.7293 0.5739
H: 0.7293 0.5739 0.6572
H: 0.7293 0.6554 0.0721
H: 0.7707 0.4279 0.8446
H: 0.7707 0.8428 0.9261
H: 0.8428 0.4167 0.0721
H: 0.8428 0.9261 0.7707
H: 0.8446 0.5739 0.4167
H: 0.8446 0.7707 0.4279
H: 0.9167 0.0739 0.3446
H: 0.9167 0.3428 0.5721
H: 0.9261 0.6554 0.0833
H: 0.9261 0.7707 0.8428
H: 0.9279 0.1572 0.5833
H: 0.9279 0.2707 0.3446

Values from the calculation:
The value obtained for the total energy is -4.835 eV/atom.

Record 13
Computed, not measured: a relaxed structure of CeYH4 at the PBE-GGA level of DFT.

Cell: 3.7386 3.7386 5.3940 Å, 90.00 90.00 90.00°
Sites, in units of the cell vectors:
Ce: 0.0000 0.0000 0.0000
Y: 0.5000 0.5000 0.5000
H: 0.0000 0.5000 0.2635
H: 0.0000 0.5000 0.7365
H: 0.5000 0.0000 0.2635
H: 0.5000 0.0000 0.7365

Values from the calculation:
The value obtained for the total energy is -4.927 eV/atom.

Record 14
Computed, not measured: a relaxed structure of CeY3H at the PBE-GGA level of DFT.

Cell: 5.0042 5.0042 5.0042 Å, 90.00 90.00 90.00°
Sites, in units of the cell vectors:
Ce: 0.0000 0.0000 0.0000
Y: 0.0000 0.5000 0.5000
Y: 0.5000 0.0000 0.5000
Y: 0.5000 0.5000 0.0000
H: 0.5000 0.5000 0.5000

Values from the calculation:
The value obtained for the total energy is -5.839 eV/atom.

Record 15
Computed, not measured: a relaxed structure of CeYH2 at the PBE-GGA level of DFT.

Cell: 3.4225 3.4225 18.2893 Å, 90.00 90.00 120.00°
Sites, in units of the cell vectors:
Ce: 0.0000 0.0000 0.0000
Ce: 0.3333 0.6667 0.6667
Ce: 0.6667 0.3333 0.3333
Y: 0.0000 0.0000 0.1754
Y: 0.3333 0.6667 0.8421
Y: 0.6667 0.3333 0.5087
H: 0.0000 0.0000 0.5812
H: 0.0000 0.0000 0.7671
H: 0.3333 0.6667 0.2479
H: 0.3333 0.6667 0.4338
H: 0.6667 0.3333 0.1004
H: 0.6667 0.3333 0.9146

Values from the calculation:
The value obtained for the total energy is -5.058 eV/atom.

Record 16
Computed, not measured: a relaxed structure of Ce3Y5H12 at the PBE-GGA level of DFT.

Cell: 11.4489 11.4489 11.4489 Å, 109.47 109.47 109.47°
Sites, in units of the cell vectors:
Ce: 0.1250 0.2500 0.3750
Ce: 0.1250 0.3750 0.7500
Ce: 0.2500 0.3750 0.1250
Ce: 0.2500 0.8750 0.6250
Ce: 0.3750 0.1250 0.2500
Ce: 0.3750 0.7500 0.1250
Ce: 0.6250 0.2500 0.8750
Ce: 0.6250 0.8750 0.7500
Ce: 0.7500 0.1250 0.3750
Ce: 0.7500 0.6250 0.8750
Ce: 0.8750 0.6250 0.2500
Ce: 0.8750 0.7500 0.6250
Y: 0.0000 0.0000 0.0000
Y: 0.0000 0.0000 0.5000
Y: 0.0000 0.5000 0.0000
Y: 0.0000 0.5000 0.5000
Y: 0.1250 0.7500 0.8750
Y: 0.1250 0.8750 0.2500
Y: 0.2500 0.1250 0.8750
Y: 0.2500 0.6250 0.3750
Y: 0.3750 0.2500 0.6250
Y: 0.3750 0.6250 0.7500
Y: 0.5000 0.0000 0.0000
Y: 0.5000 0.0000 0.5000
Y: 0.5000 0.5000 0.0000
Y: 0.5000 0.5000 0.5000
Y: 0.6250 0.3750 0.2500
Y: 0.6250 0.7500 0.3750
Y: 0.7500 0.3750 0.6250
Y: 0.7500 0.8750 0.1250
Y: 0.8750 0.1250 0.7500
Y: 0.8750 0.2500 0.1250
H: 0.0640 0.2237 0.1468
H: 0.0640 0.3403 0.9172
H: 0.0769 0.7237 0.6597
H: 0.0769 0.8532 0.4172
H: 0.0828 0.6468 0.4231
H: 0.0828 0.9360 0.6597
H: 0.1468 0.0640 0.2237
H: 0.1468 0.5828 0.9231
H: 0.1597 0.2237 0.5769
H: 0.1597 0.4360 0.5828
H: 0.2237 0.1468 0.0640
H: 0.2237 0.5769 0.1597
H: 0.2763 0.3403 0.9231
H: 0.2763 0.4360 0.3532
H: 0.3403 0.9172 0.0640
H: 0.3403 0.9231 0.2763
H: 0.3532 0.2763 0.4360
H: 0.3532 0.5769 0.9172
H: 0.4172 0.0769 0.8532
H: 0.4172 0.8403 0.5640
H: 0.4231 0.0828 0.6468
H: 0.4231 0.8403 0.7763
H: 0.4360 0.3532 0.2763
H: 0.4360 0.5828 0.1597
H: 0.5640 0.4172 0.8403
H: 0.5640 0.6468 0.7237
H: 0.5769 0.1597 0.2237
H: 0.5769 0.9172 0.3532
H: 0.5828 0.1597 0.4360
H: 0.5828 0.9231 0.1468
H: 0.6468 0.4231 0.0828
H: 0.6468 0.7237 0.5640
H: 0.6597 0.0769 0.7237
H: 0.6597 0.0828 0.9360
H: 0.7237 0.5640 0.6468
H: 0.7237 0.6597 0.0769
H: 0.7763 0.4231 0.8403
H: 0.7763 0.8532 0.9360
H: 0.8403 0.5640 0.4172
H: 0.8403 0.7763 0.4231
H: 0.8532 0.4172 0.0769
H: 0.8532 0.9360 0.7763
H: 0.9172 0.0640 0.3403
H: 0.9172 0.3532 0.5769
H: 0.9231 0.1468 0.5828
H: 0.9231 0.2763 0.3403
H: 0.9360 0.6597 0.0828
H: 0.9360 0.7763 0.8532

Values from the calculation:
The value obtained for the total energy is -4.972 eV/atom.

Record 17
Computed, not measured: a relaxed structure of Ce2YH6 at the PBE-GGA level of DFT.

Cell: 6.5636 6.5636 6.5636 Å, 146.61 131.55 60.12°
Sites, in units of the cell vectors:
Ce: 0.1650 0.1650 0.0000
Ce: 0.8350 0.8350 0.0000
Y: 0.5000 0.5000 0.0000
H: 0.0948 0.3369 0.7579
H: 0.2626 0.0000 0.2626
H: 0.4210 0.6631 0.7579
H: 0.5790 0.3369 0.2421
H: 0.7374 0.0000 0.7374
H: 0.9052 0.6631 0.2421

Values from the calculation:
The value obtained for the total energy is -4.865 eV/atom.

Record 18
Computed, not measured: a relaxed structure of Ce3YH8 at the PBE-GGA level of DFT.

Cell: 5.3845 5.3845 5.3845 Å, 90.00 90.00 90.00°
Sites, in units of the cell vectors:
Ce: 0.0000 0.0000 0.5000
Ce: 0.0000 0.5000 0.0000
Ce: 0.5000 0.0000 0.0000
Y: 0.5000 0.5000 0.5000
H: 0.2571 0.2571 0.2571
H: 0.2571 0.2571 0.7429
H: 0.2571 0.7429 0.2571
H: 0.2571 0.7429 0.7429
H: 0.7429 0.2571 0.2571
H: 0.7429 0.2571 0.7429
H: 0.7429 0.7429 0.2571
H: 0.7429 0.7429 0.7429

Values from the calculation:
The value obtained for the total energy is -4.836 eV/atom.